[1]
VASP calculation (GGA-PBE) on a geometry-optimized Be2AlTe structure.

Space group: No. 65
Calculated volume in Å³/atom: 17.86
Theoretical density in g/cm³: 4.013
Energy above the lowest structure with this stoichiometry in kJ per mole of atoms: 0.4
Formation energy without anion corrections in eV/atom: 0.22

The structure in CIF format:
```
data_Be2AlTe
_chemical_formula_sum 'Be2 Al1 Te1'
_space_group_name_H-M_alt 'P 1'
_space_group_IT_number 1
_cell_length_a 4.188
_cell_length_b 4.188
_cell_length_c 4.795
_cell_angle_alpha 90.00
_cell_angle_beta 90.00
_cell_angle_gamma 121.88
loop_
_space_group_symop_operation_xyz
'x,y,z'
loop_
_atom_site_label
_atom_site_fract_x
_atom_site_fract_y
_atom_site_fract_z
Be1 0.173 0.827 0.000
Be2 0.827 0.173 0.000
Al1 0.500 0.500 0.000
Te1 0.000 0.000 0.500
```

***

[2]
VASP calculation (GGA-PBE) on a geometry-optimized BeAlTe structure.

Space group: No. 42
Calculated volume in Å³/atom: 20.86
Theoretical density in g/cm³: 4.342
Energy above the lowest structure with this stoichiometry in kJ per mole of atoms: 46.0
Formation energy without anion corrections in eV/atom: 0.44

The structure in CIF format:
```
data_BeAlTe
_chemical_formula_sum 'Be1 Al1 Te1'
_space_group_name_H-M_alt 'P 1'
_space_group_IT_number 1
_cell_length_a 6.351
_cell_length_b 5.953
_cell_length_c 3.482
_cell_angle_alpha 79.96
_cell_angle_beta 67.36
_cell_angle_gamma 32.67
loop_
_space_group_symop_operation_xyz
'x,y,z'
loop_
_atom_site_label
_atom_site_fract_x
_atom_site_fract_y
_atom_site_fract_z
Be1 0.000 0.000 0.000
Al1 0.640 0.640 0.360
Te1 0.365 0.365 0.635
```

***

> Which formula does entry 1 have?

Be2AlTe

***

> Which formula does entry 1 have?

Be2AlTe